A relaxed KLi2Sc crystal. Source: Alexandria, functional PBE.

Output
energy relative to the elements = 0.34 eV per atom
polymorph energy (0 for the lowest one) = 0.193 eV/f.u.
SG = Cmm2 (35)

a b c (Å): 3.3087 3.3087 11.2569
angles (deg): 90.00 90.00 109.22
Positions (direct):
K 0.5000 0.5000 0.7565
Li 0.0000 0.0000 0.0460
Li 0.5000 0.5000 0.2431
Sc 0.0000 0.0000 0.4545